! GGA-PBE YCuW2, optimized geometry; values from VASP
! - DFT formation energy (eV/atom) = 0.482
! - E (eV per cell) = -34.5
! - magnetization (μB/cell) = 0.00
! - E above lowest polymorph (meV/atom) = 205
! - volume (Å³/atom) = 17.40
! - symmetry = No. 99
&SYSTEM
  ibrav = 0, nat = 4, ntyp = 3
/
ATOMIC_SPECIES
W 183.84 W.upf
Y 88.91 Y.upf
Cu 63.55 Cu.upf
CELL_PARAMETERS angstrom
-1.2155 -1.8979 -1.6441
2.3994 -0.3392 -1.3822
2.3732 -6.4619 5.7052
ATOMIC_POSITIONS crystal
W 0.5000 0.5000 0.2322
W 0.0000 0.0000 0.9790
Y 0.0000 0.0000 0.5156
Cu 0.5000 0.5000 0.7733

***

! GGA-PBE YCuW2, optimized geometry; values from VASP
! - DFT formation energy (eV/atom) = 0.559
! - E (eV per cell) = -34.2
! - magnetization (μB/cell) = 0.00
! - E above lowest polymorph (meV/atom) = 283
! - volume (Å³/atom) = 18.22
! - symmetry = No. 139
&SYSTEM
  ibrav = 0, nat = 4, ntyp = 3
/
ATOMIC_SPECIES
Y 88.91 Y.upf
Cu 63.55 Cu.upf
W 183.84 W.upf
CELL_PARAMETERS angstrom
5.5418 0.0078 0.0000
2.8010 4.7818 0.0000
-4.1714 -2.3948 2.7524
ATOMIC_POSITIONS crystal
Y 0.2500 0.7500 0.5000
Cu 0.7500 0.2500 0.5000
W 0.0000 0.0000 0.0000
W 0.5000 0.5000 0.0000

***

! GGA-PBE Y2CuW, optimized geometry; values from VASP
! - DFT formation energy (eV/atom) = 0.270
! - E (eV per cell) = -28.9
! - magnetization (μB/cell) = 0.00
! - E above lowest polymorph (meV/atom) = 0
! - volume (Å³/atom) = 22.86
! - symmetry = No. 38
&SYSTEM
  ibrav = 0, nat = 4, ntyp = 3
/
ATOMIC_SPECIES
W 183.84 W.upf
Cu 63.55 Cu.upf
Y 88.91 Y.upf
CELL_PARAMETERS angstrom
-2.4788 3.2306 -1.0895
-2.1803 -2.4684 -2.3586
-4.3259 -2.3258 2.9459
ATOMIC_POSITIONS crystal
W 0.5000 0.5621 0.7506
Cu 0.0000 0.6887 0.4980
Y 0.5000 0.2729 0.3298
Y 0.0000 0.9763 0.9216

***

! GGA-PBE Y2CuW, optimized geometry; values from VASP
! - DFT formation energy (eV/atom) = 0.279
! - E (eV per cell) = -28.9
! - magnetization (μB/cell) = 0.00
! - E above lowest polymorph (meV/atom) = 9
! - volume (Å³/atom) = 21.65
! - symmetry = No. 123
&SYSTEM
  ibrav = 0, nat = 4, ntyp = 3
/
ATOMIC_SPECIES
Y 88.91 Y.upf
Cu 63.55 Cu.upf
W 183.84 W.upf
CELL_PARAMETERS angstrom
-0.8515 -0.2857 3.2870
2.2903 -2.4947 0.3763
5.1993 5.0427 1.7854
ATOMIC_POSITIONS crystal
Y 0.0000 0.0000 0.9979
Y 0.0000 0.0000 0.5021
Cu 0.5000 0.5000 0.2500
W 0.5000 0.5000 0.7500

***

Q: The lowest DFT formation energy belongs to which entry?
A: number 3

***

Q: What is the formula in the first record?
A: YCuW2